A relaxed structure of NpPaPd, computed with PBE.

Cell lengths 3.4409, 3.4409, 11.8633 Å; angles 98.34, 98.34, 90.00 degrees
Last column: nearest neighbours and their distance in Å.
Fractional positions:
Pa: 0.2958 0.2958 0.5916  4 Np 3.13, 8 Pa 3.23-3.44, 1 Pd 3.43
Pa: 0.7042 0.7042 0.4084  4 Np 3.13, 8 Pa 3.23-3.44, 1 Pd 3.43
Np: 0.1193 0.1193 0.2386  4 Pd 2.84, 4 Pa 3.13
Np: 0.8807 0.8807 0.7614  4 Pd 2.84, 4 Pa 3.13
Pd: 0.5565 0.5565 0.1129  1 Pd 2.62, 4 Np 2.84
Pd: 0.4435 0.4435 0.8871  1 Pd 2.62, 4 Np 2.84

E above lowest polymorph: 0.1518 eV/atom
calculated total energy: -0.670 Ry/atom
total magnetization: 4.0 μB/f.u.
space-group type: I4/mmm (139)

A relaxed structure of MgTiS2, computed with PBE.

Cell lengths 5.6916, 5.6916, 6.8697 Å; angles 65.53, 65.53, 90.00 degrees
Last column: nearest neighbours and their distance in Å.
Fractional positions:
S: 0.6308 0.1250 0.2500  2 Ti 2.43, 2 Mg 2.47
S: 0.1192 0.6250 0.2500  2 Ti 2.43, 2 Mg 2.47
S: 0.3750 0.3692 0.7500  2 Ti 2.43, 2 Mg 2.47
S: 0.8750 0.8808 0.7500  2 Ti 2.43, 2 Mg 2.47
Mg: 0.5000 0.5000 0.0000  4 S 2.47
Mg: 0.2500 0.7500 0.5000  4 S 2.47
Ti: 0.0000 0.0000 0.0000  4 S 2.43
Ti: 0.7500 0.2500 0.5000  4 S 2.43

calculated total energy: -0.402 Ry/atom
total magnetization: 2.0 μB/f.u.
space-group type: I-42d (122)
energy relative to the elements, uncorrected: -1.034 eV/atom

A relaxed structure of LiTiIn, computed with PBE.

Cell lengths 6.7931, 3.1144, 10.5809 Å; angles 90.00, 90.00, 90.00 degrees
Last column: nearest neighbours and their distance in Å.
Fractional positions:
Ti: 0.3833 0.2500 0.4266  2 Ti 2.71, 4 In 2.93-3.01, 2 Li 3.02
Ti: 0.1167 0.7500 0.9266  2 Ti 2.71, 4 In 2.93-3.01, 2 Li 3.02
Ti: 0.6167 0.7500 0.5734  2 Ti 2.71, 4 In 2.93-3.01, 2 Li 3.02
Ti: 0.8833 0.2500 0.0734  2 Ti 2.71, 4 In 2.93-3.01, 2 Li 3.02
Li: 0.8980 0.2500 0.4078  4 In 2.83-2.87, 4 Li 2.86-3.11, 2 Ti 3.02
Li: 0.6020 0.7500 0.9078  4 In 2.83-2.87, 4 Li 2.86-3.11, 2 Ti 3.02
Li: 0.1020 0.7500 0.5922  4 In 2.83-2.87, 4 Li 2.86-3.11, 2 Ti 3.02
Li: 0.3980 0.2500 0.0922  4 In 2.83-2.87, 4 Li 2.86-3.11, 2 Ti 3.02
In: 0.8614 0.2500 0.7595  4 Li 2.83-2.87, 4 Ti 2.93-3.01, 2 In 3.11
In: 0.6386 0.7500 0.2595  4 Li 2.83-2.87, 4 Ti 2.93-3.01, 2 In 3.11
In: 0.1386 0.7500 0.2405  4 Li 2.83-2.87, 4 Ti 2.93-3.01, 2 In 3.11
In: 0.3614 0.2500 0.7405  4 Li 2.83-2.87, 4 Ti 2.93-3.01, 2 In 3.11

E above lowest polymorph: 0.0933 eV/atom
calculated total energy: -0.313 Ry/atom
total magnetization: 0.0 μB/f.u.
space-group type: Pnma (62)

A relaxed structure of Ce2TeN2, computed with PBE.

Cell lengths 6.2594, 6.2595, 6.5864 Å; angles 109.57, 108.79, 107.98 degrees
Last column: nearest neighbours and their distance in Å.
Fractional positions:
Ce: 0.8073 0.1972 0.2455  4 N 2.30-2.37
Ce: 0.5483 0.4382 0.7455  4 N 2.30-2.37
Ce: 0.4517 0.5618 0.2545  4 N 2.30-2.37
Ce: 0.1927 0.8028 0.7545  4 N 2.30-2.37
Te: 0.1172 0.8672 0.2500  6 Ce 3.24-3.38, 4 N 3.37-3.41
Te: 0.8828 0.1328 0.7500  6 Ce 3.24-3.38, 4 N 3.37-3.41
N: 0.4946 0.2430 0.9890  4 Ce 2.30-2.37
N: 0.2459 0.4944 0.4890  4 Ce 2.30-2.37
N: 0.5054 0.7570 0.0110  4 Ce 2.30-2.37
N: 0.7541 0.5056 0.5110  4 Ce 2.30-2.37

calculated total energy: -0.572 Ry/atom
total magnetization: 0.3 μB/f.u.
space-group type: C2/c (15)
energy relative to the elements, uncorrected: -1.457 eV/atom

A relaxed structure of AlAgRu3, computed with PBE.

Cell lengths 4.4506, 4.4506, 4.4506 Å; angles 90.00, 90.00, 90.00 degrees
Last column: nearest neighbours and their distance in Å.
Fractional positions:
Ru: 0.0000 0.5000 0.0000  2 Al 2.23
Ru: 0.0000 0.0000 0.5000  2 Al 2.23
Ru: 0.5000 0.0000 0.0000  2 Al 2.23
Al: 0.0000 0.0000 0.0000  6 Ru 2.23
Ag: 0.5000 0.5000 0.5000  12 Ru 3.15

E above lowest polymorph: 0.0000 eV/atom
calculated total energy: -0.418 Ry/atom
total magnetization: 2.3 μB/f.u.
space-group type: Pm-3m (221)

A relaxed structure of CaCu3Ge, computed with PBE.

Cell lengths 4.5857, 4.5857, 4.5857 Å; angles 90.00, 90.00, 90.00 degrees
Last column: nearest neighbours and their distance in Å.
Fractional positions:
Ge: 0.0000 0.0000 0.0000  6 Cu 2.29
Ca: 0.5000 0.5000 0.5000  12 Cu 3.24
Cu: 0.0000 0.5000 0.0000  2 Ge 2.29
Cu: 0.0000 0.0000 0.5000  2 Ge 2.29
Cu: 0.5000 0.0000 0.0000  2 Ge 2.29

E above lowest polymorph: 0.2576 eV/atom
calculated total energy: -0.274 Ry/atom
total magnetization: 0.0 μB/f.u.
space-group type: Pm-3m (221)

A relaxed structure of PmCo4Au, computed with PBE.

Cell lengths 5.0195, 5.0195, 5.0195 Å; angles 60.00, 60.00, 60.00 degrees
Last column: nearest neighbours and their distance in Å.
Fractional positions:
Co: 0.6260 0.6260 0.1220  6 Co 2.49-2.53
Co: 0.6260 0.1220 0.6260  6 Co 2.49-2.53
Co: 0.6260 0.6260 0.6260  6 Co 2.49-2.53
Co: 0.1220 0.6260 0.6260  6 Co 2.49-2.53
Au: 0.0000 0.0000 0.0000  12 Co 2.94, 4 Pm 3.07
Pm: 0.2500 0.2500 0.2500  12 Co 2.95, 4 Au 3.07

calculated total energy: -0.452 Ry/atom
total magnetization: 5.7 μB/f.u.
space-group type: F-43m (216)

A relaxed structure of TaCoPt, computed with PBE.

Cell lengths 2.8806, 4.1727, 7.4494 Å; angles 90.00, 90.00, 90.00 degrees
Last column: nearest neighbours and their distance in Å.
Fractional positions:
Ta: 0.8138 0.8665 0.1563  4 Co 2.49-2.56, 4 Pt 2.77
Ta: 0.3134 0.3665 0.6829  4 Co 2.49-2.56, 4 Pt 2.77
Co: 0.8136 0.3665 0.9562  4 Ta 2.49-2.56, 4 Co 2.59
Co: 0.3137 0.8665 0.8829  4 Ta 2.49-2.56, 4 Co 2.59
Pt: 0.8134 0.8665 0.5326  5 Ta 2.77-2.80, 6 Pt 2.88-3.04, 2 Co 2.98
Pt: 0.3136 0.3665 0.3067  5 Ta 2.77-2.80, 6 Pt 2.88-3.04, 2 Co 2.98

E above lowest polymorph: 0.0676 eV/atom
calculated total energy: -0.638 Ry/atom
total magnetization: 0.0 μB/f.u.
space-group type: Pmmn (59)

A relaxed structure of Ba3NaIn, computed with PBE.

Cell lengths 6.2086, 6.2131, 12.4915 Å; angles 90.00, 75.61, 90.00 degrees
Last column: nearest neighbours and their distance in Å.
Fractional positions:
Ba: 0.7533 0.2500 0.1416  2 In 3.74, 2 Na 3.80
Ba: 0.3976 0.2500 0.8532  2 In 3.71, 2 Na 3.77
Ba: 0.5751 0.2500 0.4982  4 Na 3.76-3.78, 4 In 3.82-3.85
Ba: 0.2508 0.7500 0.1468  2 In 3.71, 2 Na 3.77
Ba: 0.8950 0.7500 0.8584  2 In 3.74, 2 Na 3.80
Ba: 0.0733 0.7500 0.5018  4 Na 3.76-3.78, 4 In 3.82-3.85
Na: 0.4859 0.7500 0.6766  8 Ba 3.76-3.80
Na: 0.1625 0.2500 0.3234  8 Ba 3.76-3.80
In: 0.6671 0.7500 0.3141  8 Ba 3.71-3.85
In: 0.9812 0.2500 0.6859  8 Ba 3.71-3.85

E above lowest polymorph: 0.0000 eV/atom
calculated total energy: -0.157 Ry/atom
total magnetization: 0.0 μB/f.u.
space-group type: Cmcm (63)

A relaxed structure of Si2AgCl, computed with PBE.

Cell lengths 2.8787, 4.7826, 5.2836 Å; angles 90.00, 90.00, 90.00 degrees
Last column: nearest neighbours and their distance in Å.
Fractional positions:
Ag: 0.5000 0.5000 0.2500  2 Cl 2.64, 2 Ag 2.88
Cl: 0.5000 0.5000 0.7500  2 Ag 2.64, 2 Cl 2.88
Si: 0.0000 0.0000 0.0118  2 Si 2.52-2.77
Si: 0.0000 0.0000 0.4882  2 Si 2.52-2.77

E above lowest polymorph: 0.4395 eV/atom
calculated total energy: -0.252 Ry/atom
total magnetization: 0.0 μB/f.u.
space-group type: Pmmm (47)
energy relative to the elements, uncorrected: 0.463 eV/atom

A relaxed structure of Ho8Er3Th2, computed with PBE.

Cell lengths 5.6129, 7.3179, 10.9813 Å; angles 109.46, 90.04, 90.00 degrees
Last column: nearest neighbours and their distance in Å.
Fractional positions:
Ho: 0.0000 0.6652 0.3304  2 Th 3.36, 6 Ho 3.43-3.70
Ho: 0.0000 0.3348 0.6696  2 Th 3.36, 6 Ho 3.43-3.70
Ho: 0.9992 0.1392 0.2785  2 Er 3.51, 6 Ho 3.53-3.70, 2 Th 3.57
Ho: 0.0008 0.8608 0.7215  2 Er 3.51, 6 Ho 3.53-3.70, 2 Th 3.57
Ho: 0.5005 0.6100 0.7823  1 Er 3.05, 1 Ho 3.20, 1 Th 3.41
Ho: 0.5005 0.1723 0.7823  1 Er 3.05, 1 Ho 3.20, 1 Th 3.41
Ho: 0.4995 0.8277 0.2177  1 Er 3.05, 1 Ho 3.20, 1 Th 3.41
Ho: 0.4995 0.3900 0.2177  1 Er 3.05, 1 Ho 3.20, 1 Th 3.41
Er: 0.5000 0.0000 0.0000  4 Ho 3.05
Er: 0.0000 0.2723 0.0000  3 Er 3.33-3.44, 6 Ho 3.51-3.60
Er: 0.0000 0.7277 0.0000  3 Er 3.33-3.44, 6 Ho 3.51-3.60
Th: 0.4995 0.2455 0.4910  8 Ho 3.36-3.57, 2 Th 3.66
Th: 0.5005 0.7545 0.5090  8 Ho 3.36-3.57, 2 Th 3.66

E above lowest polymorph: 0.2522 eV/atom
calculated total energy: -0.348 Ry/atom
total magnetization: 0.0 μB/f.u.
space-group type: C2/m (12)

A relaxed structure of PuCrSe4, computed with PBE.

Cell lengths 7.2444, 5.9270, 7.7320 Å; angles 90.00, 118.44, 90.00 degrees
Last column: nearest neighbours and their distance in Å.
Fractional positions:
Pu: 0.0000 0.0000 0.0000  6 Se 2.75-2.80
Pu: 0.5000 0.5000 0.0000  6 Se 2.75-2.80
Cr: 0.5000 0.0000 0.5000  6 Se 2.45-2.62
Cr: 0.0000 0.5000 0.5000  6 Se 2.45-2.62
Se: 0.8511 0.7579 0.2188  1 Cr 2.45
Se: 0.6489 0.2579 0.7812  1 Cr 2.45
Se: 0.1863 0.2665 0.3405  2 Cr 2.55-2.62, 1 Pu 2.80
Se: 0.3137 0.7665 0.6595  2 Cr 2.55-2.62, 1 Pu 2.80
Se: 0.1489 0.2421 0.7812  1 Cr 2.45
Se: 0.3511 0.7421 0.2188  1 Cr 2.45
Se: 0.8137 0.7335 0.6595  2 Cr 2.55-2.62, 1 Pu 2.80
Se: 0.6863 0.2335 0.3405  2 Cr 2.55-2.62, 1 Pu 2.80

calculated total energy: -0.515 Ry/atom
total magnetization: 6.0 μB/f.u.
space-group type: P2_1/c (14)
energy relative to the elements, uncorrected: -0.698 eV/atom

A relaxed structure of CsMnAgTe2, computed with PBE.

Cell lengths 6.9983, 6.6606, 8.4737 Å; angles 113.14, 90.00, 90.00 degrees
Last column: nearest neighbours and their distance in Å.
Fractional positions:
Cs: 0.2332 0.7500 0.5000  8 Te 3.98-4.30, 2 Ag 4.22
Cs: 0.7668 0.2500 0.5000  8 Te 3.98-4.30, 2 Ag 4.22
Mn: 0.5000 0.7500 0.0000  4 Te 2.78
Mn: 0.5000 0.2500 0.0000  4 Te 2.78
Ag: 0.0000 0.0000 0.0000  2 Te 2.66
Ag: 0.0000 0.5000 0.0000  2 Te 2.66
Te: 0.7062 0.8915 0.7830  1 Ag 2.66, 2 Mn 2.78
Te: 0.7062 0.6085 0.2170  1 Ag 2.66, 2 Mn 2.78
Te: 0.2938 0.3915 0.7830  1 Ag 2.66, 2 Mn 2.78
Te: 0.2938 0.1085 0.2170  1 Ag 2.66, 2 Mn 2.78

calculated total energy: -0.315 Ry/atom
total magnetization: 5.0 μB/f.u.
space-group type: Cmme (67)
energy relative to the elements, uncorrected: -0.460 eV/atom